A relaxed structure of V2SiMoH. Source: the Alexandria database, functional PBE.

```
data_V2SiMoH
_space_group_name_H-M_alt 'P 4/m m m'
_space_group_IT_number 123
_space_group_name_Hall '-P 4 2'
_cell_length_a 3.804
_cell_length_b 3.804
_cell_length_c 3.956
_cell_angle_alpha 90.00
_cell_angle_beta 90.00
_cell_angle_gamma 90.00
loop_
_atom_site_label
_atom_site_type_symbol
_atom_site_fract_x
_atom_site_fract_y
_atom_site_fract_z
V1 V 0.000 0.500 0.000
Si1 Si 0.000 0.000 0.500
Mo1 Mo 0.500 0.500 0.500
H1 H 0.500 0.500 0.000
```

Calculated values
Crystal system: tetragonal
Theoretical density, g/cm3: 6.582
VASP energy, eV/atom: -7.797